1.
! Th6NiBr15 (meta-GGA SCAN, PBEsol geometry); values from VASP
&SYSTEM
  ibrav = 0, nat = 22, ntyp = 3
/
ATOMIC_SPECIES
Th 232.04 Th.upf
Ni 58.69 Ni.upf
Br 79.90 Br.upf
CELL_PARAMETERS angstrom
-5.7457 5.7457 5.7457
5.7457 -5.7457 5.7457
5.7457 5.7457 -5.7457
ATOMIC_POSITIONS angstrom
Th 2.7739 0.0000 0.0000
Th 8.7174 0.0000 0.0000
Th 0.0000 2.7739 0.0000
Th 0.0000 0.0000 2.7739
Th 0.0000 8.7174 0.0000
Th 0.0000 0.0000 8.7174
Ni 0.0000 0.0000 0.0000
Br 5.7457 2.8423 -2.8423
Br 5.7457 0.0000 0.0000
Br 5.7457 -2.8423 2.8423
Br 2.8423 5.7457 -2.8423
Br 2.9034 2.9034 0.0000
Br 2.9034 0.0000 2.9034
Br 2.8423 -2.8423 5.7457
Br 5.7457 2.8423 2.8423
Br 0.0000 5.7457 0.0000
Br 0.0000 0.0000 5.7457
Br 0.0000 2.9034 2.9034
Br -2.8423 5.7457 2.8423
Br -2.8423 2.8423 5.7457
Br 2.8423 5.7457 2.8423
Br 2.8423 2.8423 5.7457
! - density of states at the Fermi level (states/eV/cell) = 7.133
! - energy relative to the elements, uncorrected (eV per atom) = -1.66
! - space-group type = Im-3m, No. 229
! - density (g cm⁻³) = 5.8
! - uncorrected energy (eV per atom) = -41.8202

2.
! TiNi3Br (meta-GGA SCAN, PBEsol geometry); values from VASP
&SYSTEM
  ibrav = 0, nat = 5, ntyp = 3
/
ATOMIC_SPECIES
Ti 47.87 Ti.upf
Ni 58.69 Ni.upf
Br 79.90 Br.upf
CELL_PARAMETERS angstrom
4.3863 0.0000 0.0000
0.0000 4.3863 0.0000
0.0000 0.0000 4.3863
ATOMIC_POSITIONS angstrom
Ti 0.0000 0.0000 0.0000
Ni 0.0000 0.0000 2.1932
Ni 0.0000 2.1932 0.0000
Ni 2.1932 0.0000 0.0000
Br 2.1932 2.1932 2.1932
! - density of states at the Fermi level (states/eV/cell) = 2.600
! - energy relative to the elements, uncorrected (eV per atom) = 1.22
! - space-group type = Pm-3m, No. 221
! - density (g cm⁻³) = 6.0
! - uncorrected energy (eV per atom) = -15.5799

> Which of these has the highest uncorrected energy?

TiNi3Br

> The lowest uncorrected energy belongs to which entry?

Th6NiBr15